[1]
The following is a DFT calculation (PBE) of BaIn4Pt2 after structural relaxation.

a = 4.563 Å, b = 7.998 Å, c = 19.102 Å
α = 90.00°, β = 90.00°, γ = 90.00°
Positions (direct):
In (0.250, 0.843, 0.190)
In (0.250, 0.996, 0.908)
Pt (0.750, 0.044, 0.234)
Pt (0.250, 0.667, 0.542)
Pt (0.250, 0.833, 0.042)
Pt (0.750, 0.333, 0.458)
In (0.250, 0.234, 0.200)
In (0.250, 0.264, 0.538)
In (0.750, 0.157, 0.810)
Pt (0.250, 0.956, 0.766)
In (0.750, 0.734, 0.300)
Ba (0.750, 0.526, 0.120)
Ba (0.750, 0.974, 0.620)
In (0.250, 0.657, 0.690)
Pt (0.750, 0.167, 0.958)
In (0.250, 0.504, 0.408)
In (0.750, 0.004, 0.092)
In (0.750, 0.496, 0.592)
Pt (0.250, 0.544, 0.266)
Ba (0.250, 0.474, 0.880)
Pt (0.750, 0.456, 0.734)
In (0.250, 0.236, 0.038)
In (0.250, 0.266, 0.700)
In (0.750, 0.766, 0.800)
In (0.750, 0.343, 0.310)
In (0.750, 0.736, 0.462)
Ba (0.250, 0.026, 0.380)
In (0.750, 0.764, 0.962)

## Properties
**Offset from the most stable computed form**: 0.0000 eV per atom
**Calculated formation energy**: -4.1 eV per formula unit
**M_tot**: 0.000 μB per atom

=====

[2]
The following is a DFT calculation (PBE) of Ba2InPt2 after structural relaxation.

a = 3.875 Å, b = 3.875 Å, c = 10.659 Å
α = 79.53°, β = 79.53°, γ = 90.00°
Positions (direct):
Ba (0.375, 0.375, 0.250)
Pt (0.750, 0.250, 0.500)
Ba (0.625, 0.625, 0.750)
Pt (0.250, 0.750, 0.500)
In (0.000, 0.000, 0.000)

## Properties
**Calculated formation energy**: -1.9 eV per formula unit
**M_tot**: 0.000 μB per atom

=====

[3]
The following is a DFT calculation (PBE) of Ba4In2Pt after structural relaxation.

a = 6.197 Å, b = 6.197 Å, c = 9.558 Å
α = 108.92°, β = 108.92°, γ = 90.00°
Positions (direct):
In (0.607, 0.607, 0.214)
In (0.393, 0.393, 0.786)
Ba (0.815, 0.815, 0.629)
Ba (0.185, 0.185, 0.371)
Pt (0.000, 0.000, 0.000)
Ba (0.500, 0.000, 0.000)
Ba (0.000, 0.500, 0.000)

## Properties
**Calculated formation energy**: -2.5 eV per formula unit
**M_tot**: 0.001 μB per atom

=====

[4]
The following is a DFT calculation (PBE) of Ba2InPt after structural relaxation.

a = 4.924 Å, b = 4.924 Å, c = 8.812 Å
α = 74.87°, β = 74.87°, γ = 55.03°
Positions (direct):
In (0.797, 0.797, 0.625)
Pt (0.478, 0.478, 0.625)
Ba (0.037, 0.037, 0.879)
Ba (0.188, 0.188, 0.371)

## Properties
**Calculated formation energy**: -2.2 eV per formula unit
**M_tot**: 0.000 μB per atom

=====

[5]
The following is a DFT calculation (PBE) of Ba2InPt after structural relaxation.

a = 3.872 Å, b = 3.931 Å, c = 9.768 Å
α = 66.24°, β = 90.00°, γ = 90.00°
Positions (direct):
Ba (0.000, 0.459, 0.540)
Pt (0.500, 0.750, 0.750)
In (0.500, 0.250, 0.250)
Ba (0.000, 0.041, 0.960)

## Properties
**Calculated formation energy**: -2.0 eV per formula unit
**M_tot**: 0.000 μB per atom

=====

[6]
The following is a DFT calculation (PBE) of Ba2InPt after structural relaxation.

a = 4.554 Å, b = 5.211 Å, c = 6.574 Å
α = 66.67°, β = 90.00°, γ = 90.00°
Positions (direct):
Ba (0.500, 0.278, 0.318)
In (0.000, 0.681, 0.512)
Ba (0.000, 0.986, 0.903)
Pt (0.500, 0.555, 0.767)

## Properties
**Calculated formation energy**: -2.2 eV per formula unit
**M_tot**: 0.000 μB per atom

=====

The highest calculated formation energy belongs to which entry?
Ba2InPt2